[1]
The following is a DFT calculation (PBE) of an optimized crystal structure of Pr4NdY3Te8.

M_tot ... 0.00 Bohr magnetons per cell
Calculated volume ... 31.521 A^3/atom
Calculated total energy ... -5.663 eV/atom
D(E_F) ... 11.88 states/eV/cell

Cell lengths 8.8782, 8.9923, 8.8784 Å; angles 119.59, 120.00, 90.00 degrees
Last column: nearest neighbours and their distance in Å.
Positions (direct):
Pr1 0.5000 0.0000 0.0000  6 Te 3.17
Pr2 0.5000 0.0000 0.5000  6 Te 3.22
Pr3 0.0000 0.0000 0.0000  6 Te 3.22
Pr4 0.0000 0.0000 0.5000  6 Te 3.22
Nd1 0.0000 0.5000 0.0000  6 Te 3.15
Y1 0.5000 0.5000 0.0000  6 Te 3.10
Y2 0.5000 0.5000 0.5000  6 Te 3.10
Y3 0.0000 0.5000 0.5000  6 Te 3.10
Te1 0.2491 0.7394 0.9903  2 Y 3.10, 1 Nd 3.15, 3 Pr 3.17-3.22
Te2 0.2491 0.7394 0.4983  2 Y 3.10, 1 Nd 3.15, 3 Pr 3.17-3.22
Te3 0.2548 0.2643 0.5095  3 Y 3.10, 3 Pr 3.22
Te4 0.7411 0.7394 0.9903  2 Y 3.10, 1 Nd 3.15, 3 Pr 3.17-3.22
Te5 0.2589 0.2606 0.0097  2 Y 3.10, 1 Nd 3.15, 3 Pr 3.17-3.22
Te6 0.7452 0.7357 0.4905  3 Y 3.10, 3 Pr 3.22
Te7 0.7509 0.2606 0.5017  2 Y 3.10, 1 Nd 3.15, 3 Pr 3.17-3.22
Te8 0.7509 0.2606 0.0097  2 Y 3.10, 1 Nd 3.15, 3 Pr 3.17-3.22


[2]
The following is a DFT calculation (PBE) of an optimized crystal structure of K2Zn2P2H.

M_tot ... 0.00 Bohr magnetons per cell
Calculated volume ... 21.558 A^3/atom
Calculated total energy ... -2.973 eV/atom
D(E_F) ... 2.61 states/eV/cell

Cell lengths 4.0211, 6.1334, 6.9718 Å; angles 71.71, 73.24, 70.86 degrees
Last column: nearest neighbours and their distance in Å.
Positions (direct):
K1 0.5603 0.2090 0.6705  2 H 3.01, 3 P 3.26-3.34
K2 0.4397 0.7910 0.3295  2 H 3.01, 3 P 3.26-3.34
Zn1 0.1778 0.7111 0.9332  1 H 1.83
Zn2 0.8222 0.2889 0.0668  1 H 1.83
P1 0.1975 0.3709 0.2340  3 Zn 2.40-2.45
P2 0.8025 0.6291 0.7660  3 Zn 2.40-2.45
H1 0.0000 0.0000 0.0000  2 Zn 1.83


[3]
The following is a DFT calculation (PBE) of an optimized crystal structure of HgSeBr2.

E above lowest polymorph ... 437 meV per atom
M_tot ... 0.00 Bohr magnetons per cell
Calculated volume ... 28.969 A^3/atom
Calculated total energy ... -1.524 eV/atom
D(E_F) ... 3.01 states/eV/cell

Cell lengths 7.9854, 7.9854, 6.7150 Å; angles 53.52, 53.52, 90.00 degrees
Last column: nearest neighbours and their distance in Å.
Positions (direct):
Se1 0.5000 0.5000 0.0000  4 Br 2.83
Se2 0.2500 0.7500 0.5000  4 Br 2.83
Hg1 0.0000 0.0000 0.0000  4 Br 3.11
Hg2 0.7500 0.2500 0.5000  4 Br 3.11
Br1 0.5988 0.1250 0.2500  2 Se 2.83, 2 Hg 3.11
Br2 0.1512 0.6250 0.2500  2 Se 2.83, 2 Hg 3.11
Br3 0.3750 0.4012 0.7500  2 Se 2.83, 2 Hg 3.11
Br4 0.8750 0.8488 0.7500  2 Se 2.83, 2 Hg 3.11


Q: Number 2 is which compound?
A: K2Zn2P2H